1.
Li2CuMo GGA-PBE relaxed; formation enthalpy at 0 K = 572 meV/atom; ΔE to the lowest computed polymorph = 35.91 kJ per mole of atoms; total moment = 2.866 μB/f.u.
1.0
4.997 0.008 0.000
2.224 4.475 0.000
-3.611 -2.241 2.629
Cu Li Mo
1 2 1
Cartesian
2.498 0.004 1.314
0.000 0.000 0.000
3.611 2.241 0.000
1.112 2.237 1.314



2.
NaLi2Ga GGA-PBE relaxed; formation enthalpy at 0 K = -75 meV/atom; total moment = 0.000 μB/f.u.
1.0
-1.841 1.294 2.438
3.246 -1.497 3.246
2.366 4.186 -0.435
Na Ga Li
1 1 2
Cartesian
1.885 1.992 2.624
-0.921 0.647 1.219
1.183 2.093 -0.218
1.623 -0.748 1.623



3.
LiPu2Al3Ga4 GGA-PBE relaxed; formation enthalpy at 0 K = -267 meV/atom; total moment = 11.396 μB/f.u.
1.0
4.212 0.000 0.000
0.000 4.212 0.000
0.000 0.000 10.937
Pu Ga Al Li
2 4 3 1
Cartesian
0.000 2.106 8.295
2.106 0.000 2.642
0.000 2.106 3.985
2.106 0.000 6.952
2.106 2.106 0.000
0.000 0.000 0.000
2.106 0.000 9.402
0.000 0.000 5.468
0.000 2.106 1.535
2.106 2.106 5.468



4.
Ba6Pb2N GGA-PBE relaxed; formation energy from raw total energies = -0.496 eV/atom; ΔE to the lowest computed polymorph = 0.00 kJ per mole of atoms; total moment = 1.005 μB/f.u.
1.0
-6.779 -4.200 0.912
-0.890 -4.858 6.328
-5.158 1.924 5.842
Ba N Pb
6 1 2
Cartesian
-7.020 -6.199 6.880
-6.238 -3.260 9.239
-5.808 -0.935 6.202
-3.767 -4.189 6.439
-6.590 -3.874 3.842
-9.061 -2.945 6.643
-6.414 -3.567 6.541
-3.206 -1.784 3.269
-9.622 -5.350 9.812



5.
SrGdHgBi GGA-PBE relaxed; formation enthalpy at 0 K = -564 meV/atom; total moment = 7.675 μB/f.u.
1.0
5.601 0.000 0.000
2.801 4.851 0.000
2.801 1.617 4.574
Bi Hg Gd Sr
1 1 1 1
Cartesian
8.402 4.851 3.430
2.801 1.617 1.143
0.000 0.000 0.000
5.601 3.234 2.287



6.
Ho2AlCr GGA-PBE relaxed; formation enthalpy at 0 K = -29 meV/atom; ΔE to the lowest computed polymorph = 0.00 kJ per mole of atoms; total moment = 3.858 μB/f.u.
1.0
5.075 0.000 0.000
2.537 4.395 0.000
2.537 1.465 4.143
Ho Cr Al
2 1 1
Cartesian
2.537 1.465 1.036
7.612 4.395 3.107
0.000 0.000 0.000
5.075 2.930 2.072



Record-wise mass density values, in g cm⁻³: 4.9; 2.3; 7.3; 5.7; 8.7; 7.3